No. 1
DFT (meta-GGA SCAN) results for a crystal of CdIr2Pt relaxed with PBEsol.

Cell: 4.4454 4.4454 4.4454 Å, 60.00 60.00 60.00°
Sites, in units of the cell vectors:
1 Pt 0.7500 0.7500 0.7500
2 Ir 0.0000 0.0000 0.0000
3 Ir 0.2500 0.2500 0.2500
4 Cd 0.5000 0.5000 0.5000

Calculated values
- Total moment: 0.002 μB/f.u.
- SG: F-43m, No. 216
- Density of states at the Fermi level: 4.5 states/eV per cell
- Calculated formation energy: 0.403 eV/atom

No. 2
DFT (meta-GGA SCAN) results for a crystal of CdIr2Pt relaxed with PBEsol.

Cell: 2.7638 3.8920 5.7359 Å, 90.00 90.00 90.00°
Sites, in units of the cell vectors:
1 Pt 0.5000 0.5000 0.0000
2 Ir 0.0000 0.0000 0.2326
3 Ir 0.0000 0.0000 0.7674
4 Cd 0.5000 0.5000 0.5000

Calculated values
- Total moment: 0.000 μB/f.u.
- SG: Pmmm, No. 47
- Density of states at the Fermi level: 4.6 states/eV per cell
- Calculated formation energy: 0.255 eV/atom

No. 3
DFT (meta-GGA SCAN) results for a crystal of CdIr2Pt relaxed with PBEsol.

Cell: 2.7828 2.7828 7.9635 Å, 90.00 90.00 90.00°
Sites, in units of the cell vectors:
1 Cd 0.5000 0.5000 0.5000
2 Ir 0.0000 0.0000 0.7677
3 Ir 0.0000 0.0000 0.2323
4 Pt 0.5000 0.5000 0.0000

Calculated values
- Total moment: 0.000 μB/f.u.
- SG: P4/mmm, No. 123
- Density of states at the Fermi level: 2.9 states/eV per cell
- Calculated formation energy: 0.200 eV/atom

No. 4
DFT (meta-GGA SCAN) results for a crystal of CdIr2Pt relaxed with PBEsol.

Cell: 2.7458 4.7451 5.5465 Å, 115.33 104.33 90.00°
Sites, in units of the cell vectors:
1 Ir 0.7429 0.2429 0.4857
2 Ir 0.0169 0.0169 0.0339
3 Pt 0.4868 0.4868 0.9736
4 Cd 0.2534 0.7534 0.5068

Calculated values
- Total moment: 0.000 μB/f.u.
- SG: Imm2, No. 44
- Density of states at the Fermi level: 3.8 states/eV per cell
- Calculated formation energy: 0.232 eV/atom

No. 5
DFT (meta-GGA SCAN) results for a crystal of ZnCd2IrPt relaxed with PBEsol.

Cell: 4.7413 5.0772 5.0772 Å, 90.00 90.00 90.00°
Sites, in units of the cell vectors:
1 Cd 0.0000 0.5000 0.0000
2 Cd 0.0000 0.0000 0.5000
3 Ir 0.5000 0.0000 0.0000
4 Zn 0.5000 0.5000 0.5000
5 Pt 0.0000 0.0000 0.0000

Calculated values
- Total moment: 0.000 μB/f.u.
- SG: P4/mmm, No. 123
- Density of states at the Fermi level: 3.1 states/eV per cell
- Calculated formation energy: 0.816 eV/atom

No. 6
DFT (meta-GGA SCAN) results for a crystal of RbCd2Ir relaxed with PBEsol.

Cell: 4.9926 4.9926 4.9926 Å, 60.00 60.00 60.00°
Sites, in units of the cell vectors:
1 Rb 0.0000 0.0000 0.0000
2 Cd 0.2500 0.2500 0.2500
3 Cd 0.7500 0.7500 0.7500
4 Ir 0.5000 0.5000 0.5000

Calculated values
- Total moment: 0.000 μB/f.u.
- SG: Fm-3m, No. 225
- Density of states at the Fermi level: 1.3 states/eV per cell
- Calculated formation energy: 0.588 eV/atom

> The highest calculated formation energy belongs to which entry?

ZnCd2IrPt

> Look up the total moment of the first one.

0.002 μB/f.u.